1.
ScCr2W after structural relaxation. Source: Alexandria, functional PBE.

For the total energy, the calculation gives -8.80 eV per atom. Its crystal system is tetragonal.

The space group is I-42d (No. 122) and the conventional cell measures 6.915, 6.915 and 5.536 Å, with angles of 90.00, 90.00 and 90.00 degrees. Symmetry generates all atoms from Sc at (0.000, 0.000, 0.000), Cr at (0.223, 0.250, 0.625) and W at (0.000, 0.000, 0.500).

2.
ScCr2W after structural relaxation. Source: Alexandria, functional PBE.

For the total energy, the calculation gives -9.26 eV per atom. Its crystal system is cubic.

The space group is F-43m (No. 216) and the conventional cell measures 6.241, 6.241 and 6.241 Å, with angles of 90.00, 90.00 and 90.00 degrees. Symmetry generates all atoms from Sc at (0.000, 0.000, 0.000), Cr at (0.000, 0.000, 0.500), Cr at (0.250, 0.250, 0.750) and W at (0.250, 0.250, 0.250).

Number 1: density of states at the Fermi level 16.7 states/eV/cell, offset from the most stable computed form 623 meV per atom. Number 2: density of states at the Fermi level 18.8 states/eV/cell, offset from the most stable computed form 163 meV per atom.